*i*
Crystalline U2Pa2N7 at its relaxed geometry, computed with GGA-PBE.

Cell lengths 7.562, 7.562, 7.562 Å; angles 60.00, 60.00, 60.00 degrees
Each line ends with the local moment (μB).
Fractional positions:
N: 0.478 0.022 0.478  -0.02
N: 0.478 0.022 0.022  -0.02
N: 0.022 0.478 0.478  -0.02
N: 0.022 0.478 0.022  -0.02
N: 0.750 0.750 0.750  0.00
N: 0.772 0.772 0.228  -0.02
N: 0.228 0.772 0.228  -0.02
N: 0.022 0.022 0.478  -0.02
N: 0.478 0.478 0.022  -0.02
N: 0.228 0.772 0.772  -0.02
N: 0.772 0.228 0.772  -0.02
N: 0.772 0.228 0.228  -0.02
N: 0.228 0.228 0.772  -0.02
N: 0.500 0.500 0.500  0.00
U: 0.125 0.125 0.625  0.36
U: 0.625 0.125 0.125  0.36
U: 0.125 0.125 0.125  0.36
U: 0.125 0.625 0.125  0.36
Pa: 0.625 0.125 0.625  0.03
Pa: 0.625 0.625 0.125  0.03
Pa: 0.125 0.625 0.625  0.03
Pa: 0.625 0.625 0.625  0.03

Summary:
**Fermi-level density of states**: 0.1440 states/eV per atom
**Space-group type**: Fd-3m (227)
**Spin magnetization**: 0.86 μB/f.u.



*ii*
Crystalline U2Pa2N7 at its relaxed geometry, computed with GGA-PBE.

Cell lengths 5.381, 5.393, 5.381 Å; angles 90.00, 92.43, 90.00 degrees
Fractional positions:
Pa: 0.262 0.500 0.262
Pa: 0.738 0.500 0.738
N: 0.500 0.253 0.000
N: 0.500 0.751 0.500
N: 0.000 0.747 0.500
N: 0.000 0.000 0.000
N: 0.000 0.253 0.500
N: 0.500 0.249 0.500
N: 0.500 0.747 0.000
U: 0.733 0.000 0.267
U: 0.267 0.000 0.733

Summary:
**Fermi-level density of states**: 0.4570 states/eV per atom
**Space-group type**: Cmmm (65)
**Spin magnetization**: 0.01 μB/f.u.



Most stable structure, least stable structure: *i*, *ii*.



*i*
Crystalline UPaN at its relaxed geometry, computed with GGA-PBE.

Cell lengths 2.987, 4.511, 4.511 Å; angles 120.00, 90.00, 90.00 degrees
Fractional positions:
Pa: 0.333 0.000 0.000
N: 0.334 0.333 0.667
U: 0.333 0.667 0.333

Summary:
**Fermi-level density of states**: 1.8030 states/eV per atom
**Space-group type**: P-6m2 (187)
**Spin magnetization**: 0.00 μB/f.u.



*ii*
Crystalline UPaN at its relaxed geometry, computed with GGA-PBE.

Cell lengths 3.116, 3.116, 6.146 Å; angles 104.68, 104.68, 90.00 degrees
Each line ends with the local moment (μB).
Fractional positions:
U: 0.299 0.299 0.599  -0.85
N: 0.484 0.484 0.968  0.01
Pa: 0.066 0.066 0.133  -0.07

Summary:
**Fermi-level density of states**: 1.6711 states/eV per atom
**Space-group type**: I4mm (107)
**Spin magnetization**: 0.95 μB/f.u.



*iii*
Crystalline UPaN at its relaxed geometry, computed with GGA-PBE.

Cell lengths 3.195, 5.509, 11.617 Å; angles 90.00, 90.00, 90.00 degrees
Each line ends with the local moment (μB).
Fractional positions:
U: 0.750 0.421 0.633  0.78
U: 0.250 0.579 0.367  0.78
U: 0.250 0.921 0.867  0.78
U: 0.750 0.079 0.133  0.78
Pa: 0.750 0.412 0.867  0.09
Pa: 0.250 0.588 0.133  0.09
Pa: 0.250 0.912 0.633  0.09
Pa: 0.750 0.088 0.367  0.09
N: 0.250 0.244 0.004  -0.02
N: 0.250 0.256 0.504  -0.02
N: 0.750 0.744 0.496  -0.02
N: 0.750 0.756 0.996  -0.02

Summary:
**Fermi-level density of states**: 1.6165 states/eV per atom
**Space-group type**: Pnma (62)
**Spin magnetization**: 0.88 μB/f.u.



Most stable structure, least stable structure: *iii*, *i*.